First-principles (GGA-PBE) data for crystalline FeHg2 at its relaxed geometry, as listed in OQMD.

Properties
Crystal system = monoclinic
SG = C2/m, No. 12
Total moment = 0.90 μB/atom
V = 58 Å³ per cell
DFT total energy = -2.54 eV per atom
Formation energy = 1.3 eV per formula unit

a b c (Å): 3.119 3.119 7.186
angles (deg): 101.88 101.88 58.91
Fractional positions:
Fe1 0.000 0.000 0.000
Hg1 0.235 0.235 0.692
Hg2 0.765 0.765 0.308


First-principles (GGA-PBE) data for crystalline Fe2Hg at its relaxed geometry, as listed in OQMD.

Properties
Crystal system = tetragonal
SG = P4_2/mnm, No. 136
Total moment = 1.98 μB/atom
V = 127 Å³ per cell
DFT total energy = -4.46 eV per atom
Formation energy = 3.5 eV per formula unit

a b c (Å): 5.141 5.141 4.805
angles (deg): 90.00 90.00 90.00
Fractional positions:
Fe1 0.150 0.150 0.000
Fe2 0.350 0.650 0.500
Fe3 0.650 0.350 0.500
Fe4 0.850 0.850 0.000
Hg1 0.000 0.000 0.500
Hg2 0.500 0.500 0.000


First-principles (GGA-PBE) data for crystalline HoFeHg at its relaxed geometry, as listed in OQMD.

Properties
Crystal system = cubic
SG = F-43m, No. 216
Total moment = 0.75 μB/atom
V = 74 Å³ per cell
DFT total energy = -4.04 eV per atom
Formation energy = 1.1 eV per formula unit

a b c (Å): 4.716 4.716 4.716
angles (deg): 60.00 60.00 60.00
Fractional positions:
Ho1 0.000 0.000 0.000
Fe1 0.500 0.500 0.500
Hg1 0.750 0.750 0.750


First-principles (GGA-PBE) data for crystalline In3FeHg2 at its relaxed geometry, as listed in OQMD.

Properties
Crystal system = orthorhombic
SG = Cmmm, No. 65
Total moment = 0.56 μB/atom
V = 162 Å³ per cell
DFT total energy = -2.20 eV per atom

a b c (Å): 5.936 5.936 5.251
angles (deg): 90.00 90.00 118.72
Fractional positions:
In1 0.000 0.000 0.000
In2 0.000 0.500 0.000
In3 0.500 0.000 0.000
Fe1 0.500 0.500 0.500
Hg1 0.168 0.832 0.500
Hg2 0.832 0.168 0.500


First-principles (GGA-PBE) data for crystalline InFeHgMo at its relaxed geometry, as listed in OQMD.

Properties
Crystal system = cubic
SG = F-43m, No. 216
Offset from the most stable computed form = 0.0 kJ per mole of atoms
Total moment = 0.92 μB/atom
V = 70 Å³ per cell
DFT total energy = -4.91 eV per atom

a b c (Å): 4.636 4.636 4.636
angles (deg): 60.00 60.00 60.00
Fractional positions:
In1 0.000 0.000 0.000
Fe1 0.250 0.250 0.250
Hg1 0.500 0.500 0.500
Mo1 0.750 0.750 0.750


First-principles (GGA-PBE) data for crystalline InFeNiHg at its relaxed geometry, as listed in OQMD.

Properties
Crystal system = cubic
SG = F-43m, No. 216
Offset from the most stable computed form = 0.0 kJ per mole of atoms
Total moment = 0.62 μB/atom
V = 65 Å³ per cell
DFT total energy = -3.97 eV per atom

a b c (Å): 4.502 4.502 4.502
angles (deg): 60.00 60.00 60.00
Fractional positions:
In1 0.000 0.000 0.000
Fe1 0.250 0.250 0.250
Ni1 0.750 0.750 0.750
Hg1 0.500 0.500 0.500


First-principles (GGA-PBE) data for crystalline InFeHgOs at its relaxed geometry, as listed in OQMD.

Properties
Crystal system = cubic
SG = F-43m, No. 216
Offset from the most stable computed form = 0.0 kJ per mole of atoms
Total moment = 0.76 μB/atom
V = 68 Å³ per cell
DFT total energy = -4.98 eV per atom

a b c (Å): 4.582 4.582 4.582
angles (deg): 60.00 60.00 60.00
Fractional positions:
In1 0.000 0.000 0.000
Fe1 0.250 0.250 0.250
Hg1 0.500 0.500 0.500
Os1 0.750 0.750 0.750


First-principles (GGA-PBE) data for crystalline InFeHgPd at its relaxed geometry, as listed in OQMD.

Properties
Crystal system = cubic
SG = F-43m, No. 216
Offset from the most stable computed form = 0.0 kJ per mole of atoms
Total moment = 0.64 μB/atom
V = 70 Å³ per cell
DFT total energy = -4.05 eV per atom

a b c (Å): 4.628 4.628 4.628
angles (deg): 60.00 60.00 60.00
Fractional positions:
In1 0.000 0.000 0.000
Fe1 0.250 0.250 0.250
Hg1 0.500 0.500 0.500
Pd1 0.750 0.750 0.750


First-principles (GGA-PBE) data for crystalline InFeReHg at its relaxed geometry, as listed in OQMD.

Properties
Crystal system = cubic
SG = F-43m, No. 216
Offset from the most stable computed form = 0.0 kJ per mole of atoms
Total moment = 0.78 μB/atom
V = 69 Å³ per cell
DFT total energy = -5.13 eV per atom

a b c (Å): 4.595 4.595 4.595
angles (deg): 60.00 60.00 60.00
Fractional positions:
In1 0.000 0.000 0.000
Fe1 0.250 0.250 0.250
Re1 0.750 0.750 0.750
Hg1 0.500 0.500 0.500


First-principles (GGA-PBE) data for crystalline InFeTcHg at its relaxed geometry, as listed in OQMD.

Properties
Crystal system = cubic
SG = F-43m, No. 216
Offset from the most stable computed form = 0.0 kJ per mole of atoms
Total moment = 0.80 μB/atom
V = 68 Å³ per cell
DFT total energy = -4.89 eV per atom

a b c (Å): 4.587 4.587 4.587
angles (deg): 60.00 60.00 60.00
Fractional positions:
In1 0.000 0.000 0.000
Fe1 0.250 0.250 0.250
Tc1 0.750 0.750 0.750
Hg1 0.500 0.500 0.500


First-principles (GGA-PBE) data for crystalline ZnInFeHg at its relaxed geometry, as listed in OQMD.

Properties
Crystal system = cubic
SG = F-43m, No. 216
Offset from the most stable computed form = 0.0 kJ per mole of atoms
Total moment = 0.59 μB/atom
V = 72 Å³ per cell
DFT total energy = -2.77 eV per atom

a b c (Å): 4.671 4.671 4.671
angles (deg): 60.00 60.00 60.00
Fractional positions:
Zn1 0.000 0.000 0.000
In1 0.250 0.250 0.250
Fe1 0.500 0.500 0.500
Hg1 0.750 0.750 0.750


First-principles (GGA-PBE) data for crystalline FeHgIrPb at its relaxed geometry, as listed in OQMD.

Properties
Crystal system = cubic
SG = F-43m, No. 216
Offset from the most stable computed form = 0.0 kJ per mole of atoms
Total moment = 0.69 μB/atom
V = 73 Å³ per cell
DFT total energy = -4.72 eV per atom

a b c (Å): 4.690 4.690 4.690
angles (deg): 60.00 60.00 60.00
Fractional positions:
Fe1 0.000 0.000 0.000
Hg1 0.250 0.250 0.250
Ir1 0.500 0.500 0.500
Pb1 0.750 0.750 0.750